Below is a geometry-optimized PaAlSi2 structure, with properties calculated at the PBE level.

Geometry as POSCAR:
```
PaAlSi2
1.0
4.276 0.000 0.000
0.000 4.276 0.000
0.000 0.000 3.979
Pa Al Si
1 1 2
direct
0.000 0.000 0.000
0.500 0.500 0.000
0.000 0.500 0.500
0.500 0.000 0.500
```

Properties
VASP energy: -6.427 eV/atom
Magnetization: 0.01 μB/f.u.
Density: 7.2 g/cm³
Space group: No. 123
Volume: 18.2 A^3/atom


Below is a geometry-optimized PaAl2Si structure, with properties calculated at the PBE level.

Geometry as POSCAR:
```
PaAl2Si
1.0
4.147 0.000 0.000
0.000 4.147 0.000
0.000 0.000 4.420
Pa Al Si
1 2 1
direct
0.000 0.000 0.000
0.000 0.500 0.500
0.500 0.000 0.500
0.500 0.500 0.000
```

Properties
VASP energy: -5.943 eV/atom
Magnetization: 0.00 μB/f.u.
Density: 6.8 g/cm³
Space group: No. 123
Volume: 19.0 A^3/atom


Below is a geometry-optimized SmPaAl structure, with properties calculated at the PBE level.

Geometry as POSCAR:
```
SmPaAl
1.0
7.021 0.000 0.000
0.000 7.021 0.000
0.000 0.000 7.021
Sm Pa Al
4 4 4
direct
0.000 0.000 0.000
0.000 0.500 0.500
0.500 0.000 0.500
0.500 0.500 0.000
0.000 0.000 0.500
0.000 0.500 0.000
0.500 0.000 0.000
0.500 0.500 0.500
0.250 0.250 0.750
0.250 0.750 0.250
0.750 0.250 0.250
0.750 0.750 0.750
```

Properties
Magnetization: 0.05 μB/f.u.
Distance to the lowest polymorph of the same formula: 0 meV per atom
Density: 7.8 g/cm³
Space group: No. 216
Volume: 28.8 A^3/atom


Below is a geometry-optimized PaAlSn structure, with properties calculated at the PBE level.

Geometry as POSCAR:
```
PaAlSn
1.0
7.057 0.000 0.000
0.000 7.057 0.000
0.000 0.000 7.057
Pa Al Sn
4 4 4
direct
0.000 0.000 0.000
0.000 0.500 0.500
0.500 0.000 0.500
0.500 0.500 0.000
0.250 0.250 0.750
0.250 0.750 0.250
0.750 0.250 0.250
0.750 0.750 0.750
0.250 0.250 0.250
0.250 0.750 0.750
0.750 0.250 0.750
0.750 0.750 0.250
```

Properties
VASP energy: -5.335 eV/atom
Magnetization: 1.06 μB/f.u.
Density: 7.1 g/cm³
Space group: No. 216
Volume: 29.3 A^3/atom


Below is a geometry-optimized PaAlSn structure, with properties calculated at the PBE level.

Geometry as POSCAR:
```
PaAlSn
1.0
6.724 0.000 0.000
0.000 6.724 0.000
0.000 0.000 6.724
Pa Al Sn
4 4 4
direct
0.000 0.000 0.000
0.000 0.500 0.500
0.500 0.000 0.500
0.500 0.500 0.000
0.250 0.250 0.250
0.250 0.750 0.750
0.750 0.250 0.750
0.750 0.750 0.250
0.000 0.000 0.500
0.000 0.500 0.000
0.500 0.000 0.000
0.500 0.500 0.500
```

Properties
VASP energy: -5.531 eV/atom
Magnetization: 1.10 μB/f.u.
Density: 8.2 g/cm³
Space group: No. 216
Volume: 25.3 A^3/atom


Below is a geometry-optimized TbPaAl structure, with properties calculated at the PBE level.

Geometry as POSCAR:
```
TbPaAl
1.0
6.952 0.000 0.000
0.000 6.952 0.000
0.000 0.000 6.952
Tb Pa Al
4 4 4
direct
0.000 0.000 0.000
0.000 0.500 0.500
0.500 0.000 0.500
0.500 0.500 0.000
0.000 0.000 0.500
0.000 0.500 0.000
0.500 0.000 0.000
0.500 0.500 0.500
0.250 0.250 0.750
0.250 0.750 0.250
0.750 0.250 0.250
0.750 0.750 0.750
```

Properties
Magnetization: 0.06 μB/f.u.
Distance to the lowest polymorph of the same formula: 0 meV per atom
Density: 8.2 g/cm³
Space group: No. 216
Volume: 28.0 A^3/atom


Below is a geometry-optimized PaAlTc structure, with properties calculated at the PBE level.

Geometry as POSCAR:
```
PaAlTc
1.0
6.500 0.000 0.000
0.000 6.500 0.000
0.000 0.000 6.500
Pa Al Tc
4 4 4
direct
0.000 0.000 0.000
0.000 0.500 0.500
0.500 0.000 0.500
0.500 0.500 0.000
0.250 0.250 0.750
0.250 0.750 0.250
0.750 0.250 0.250
0.750 0.750 0.750
0.250 0.250 0.250
0.250 0.750 0.750
0.750 0.250 0.750
0.750 0.750 0.250
```

Properties
Magnetization: 0.00 μB/f.u.
Distance to the lowest polymorph of the same formula: 1222 meV per atom
Density: 8.6 g/cm³
Space group: No. 216
Volume: 22.9 A^3/atom


Below is a geometry-optimized PaAlTc2 structure, with properties calculated at the PBE level.

Geometry as POSCAR:
```
PaAlTc2
1.0
4.483 0.000 0.000
0.000 4.483 0.000
0.000 0.000 3.419
Pa Al Tc
1 1 2
direct
0.000 0.000 0.000
0.500 0.500 0.000
0.000 0.500 0.500
0.500 0.000 0.500
```

Properties
VASP energy: -8.891 eV/atom
Magnetization: 0.01 μB/f.u.
Density: 11.0 g/cm³
Space group: No. 123
Volume: 17.2 A^3/atom